First-principles (PBE-GGA) data for a geometry-optimized NaY2TcO6 structure, as listed in Alexandria via LeMat-Bulk.

Output
Fermi-level density of states (states/eV/f.u.): 6.83
Energy relative to the elements, uncorrected (eV/atom): -2.469
Total magnetic moment (μB/atom): 0.200

a = 5.6385 Å, b = 5.6385 Å, c = 15.0243 Å
α = 90.00°, β = 90.00°, γ = 120.00°
Space group R3 (No. 146, hexagonal axes)
One atom of each set of equivalent atoms:
Na  0.0000  0.0000  0.0000 (multiplicity 3)
Y  0.0000  0.0000  0.2743 (multiplicity 3)
Y  0.0000  0.0000  0.7819 (multiplicity 3)
Tc  0.0000  0.0000  0.4780 (multiplicity 3)
O  0.0085  0.7317  0.3912 (multiplicity 9)
O  0.0177  0.3758  0.2115 (multiplicity 9)